A geometry-optimized Tl2V2F7 structure. Source: Alexandria via LeMat-Bulk, functional PBE+U.

Properties
Its space group is C2/m. Its final energy is -5.274 eV per atom.

Unit cell a=5.707 b=7.199 c=7.199 alpha=123.05 beta=96.77 gamma=96.77
Each line ends with the local moment (μB).
Fractional coordinates of all 11 atoms:
F: 0.208 0.461 0.461  0.00
F: 0.748 0.073 0.358  0.00
F: 0.000 0.000 0.000  0.01
F: 0.748 0.358 0.073  0.00
F: 0.252 0.927 0.642  0.00
F: 0.252 0.642 0.927  0.00
F: 0.792 0.539 0.539  0.00
V: 0.887 0.257 0.257  2.34
V: 0.113 0.743 0.743  2.34
Tl: 0.500 0.302 0.698  0.00
Tl: 0.500 0.698 0.302  0.00

A geometry-optimized TlV2F7 structure. Source: Alexandria via LeMat-Bulk, functional PBE+U.

Properties
Its space group is Cmmm. Its final energy is -5.672 eV per atom.

Unit cell a=4.063 b=6.221 c=6.221 alpha=118.14 beta=90.00 gamma=90.00
Each line ends with the local moment (μB).
Fractional coordinates of all 10 atoms:
F: 0.500 0.959 0.662  -0.01
F: 0.500 0.662 0.959  -0.01
F: 0.000 0.695 0.305  0.03
F: 0.500 0.338 0.041  -0.01
F: 0.500 0.500 0.500  -0.01
F: 0.000 0.305 0.695  0.03
F: 0.500 0.041 0.338  -0.01
V: 0.500 0.691 0.309  1.92
V: 0.500 0.309 0.691  1.92
Tl: 0.000 0.000 0.000  0.00

A geometry-optimized Tl2VF structure. Source: Alexandria via LeMat-Bulk, functional PBE+U.

Properties
Its space group is I-42d. Its final energy is -3.574 eV per atom.

Unit cell a=7.451 b=7.451 c=6.263 alpha=53.50 beta=53.50 gamma=90.00
Each line ends with the local moment (μB).
Fractional coordinates of all 8 atoms:
V: 0.000 0.000 0.000  3.10
V: 0.750 0.250 0.500  3.10
F: 0.500 0.500 0.000  0.04
F: 0.250 0.750 0.500  0.04
Tl: 0.375 0.417 0.750  0.01
Tl: 0.167 0.625 0.250  0.01
Tl: 0.875 0.833 0.750  0.01
Tl: 0.583 0.125 0.250  0.01

A geometry-optimized TlV3F structure. Source: Alexandria via LeMat-Bulk, functional PBE+U.

Properties
Its space group is Pm-3m. Its final energy is -3.875 eV per atom.

Unit cell a=5.355 b=5.355 c=5.355 alpha=90.00 beta=90.00 gamma=90.00
Each line ends with the local moment (μB).
Fractional coordinates of all 5 atoms:
V: 0.500 0.000 0.000  2.97
V: 0.000 0.500 0.000  2.97
V: 0.000 0.000 0.500  2.97
Tl: 0.000 0.000 0.000  -0.05
F: 0.500 0.500 0.500  -0.02

A geometry-optimized Tl4VF6 structure. Source: Alexandria via LeMat-Bulk, functional PBE+U.

Properties
Its space group is P4/mnc. Its final energy is -4.539 eV per atom.

Unit cell a=7.604 b=7.604 c=8.178 alpha=90.00 beta=90.00 gamma=90.00
Each line ends with the local moment (μB).
Fractional coordinates of all 22 atoms:
Tl: 0.831 0.331 0.250  0.00
Tl: 0.831 0.331 0.750  0.00
Tl: 0.331 0.169 0.250  0.00
Tl: 0.669 0.831 0.750  0.00
Tl: 0.169 0.669 0.750  0.00
Tl: 0.669 0.831 0.250  0.00
Tl: 0.169 0.669 0.250  0.00
Tl: 0.331 0.169 0.750  0.00
F: 0.000 0.000 0.758  0.01
F: 0.745 0.121 0.500  0.00
F: 0.621 0.245 0.000  0.00
F: 0.255 0.879 0.500  0.00
F: 0.000 0.000 0.242  0.01
F: 0.755 0.621 0.000  0.00
F: 0.121 0.255 0.500  0.00
F: 0.500 0.500 0.258  0.01
F: 0.500 0.500 0.742  0.01
F: 0.879 0.745 0.500  0.00
F: 0.379 0.755 0.000  0.00
F: 0.245 0.379 0.000  0.00
V: 0.500 0.500 0.000  2.73
V: 0.000 0.000 0.500  2.73

A geometry-optimized Tl2V3F10 structure. Source: Alexandria via LeMat-Bulk, functional PBE+U.

Properties
Its space group is C2/m. Its final energy is -5.613 eV per atom.

Unit cell a=6.422 b=8.098 c=10.191 alpha=111.66 beta=108.37 gamma=90.00
Each line ends with the local moment (μB).
Fractional coordinates of all 30 atoms:
F: 0.088 0.534 0.723  -0.01
F: 0.479 0.822 0.959  0.01
F: 0.025 0.195 0.049  0.01
F: 0.661 0.981 0.774  0.00
F: 0.807 0.500 0.000  0.00
F: 0.912 0.466 0.277  -0.01
F: 0.766 0.735 0.532  0.00
F: 0.000 0.000 0.500  0.01
F: 0.113 0.981 0.774  0.00
F: 0.975 0.805 0.951  0.01
F: 0.887 0.019 0.226  0.00
F: 0.234 0.265 0.468  0.00
F: 0.365 0.466 0.277  -0.01
F: 0.635 0.534 0.723  -0.01
F: 0.193 0.500 0.000  0.00
F: 0.500 0.000 0.500  0.01
F: 0.134 0.746 0.267  0.01
F: 0.521 0.178 0.041  0.01
F: 0.339 0.019 0.226  0.00
F: 0.866 0.254 0.733  0.01
V: 0.922 0.530 0.844  1.90
V: 0.750 0.000 0.000  2.75
V: 0.183 0.014 0.365  1.95
V: 0.817 0.986 0.635  1.95
V: 0.078 0.470 0.156  1.90
V: 0.250 0.000 0.000  2.75
Tl: 0.390 0.275 0.780  0.00
Tl: 0.295 0.674 0.590  0.00
Tl: 0.705 0.326 0.410  0.00
Tl: 0.610 0.725 0.220  0.00

A geometry-optimized TlVF2 structure. Source: Alexandria via LeMat-Bulk, functional PBE+U.

Properties
Its space group is I-42d. Its final energy is -4.880 eV per atom.

Unit cell a=5.510 b=5.510 c=7.095 alpha=67.15 beta=67.15 gamma=90.00
Each line ends with the local moment (μB).
Fractional coordinates of all 8 atoms:
F: 0.875 0.639 0.750  0.00
F: 0.375 0.611 0.750  0.00
F: 0.361 0.625 0.250  0.00
F: 0.389 0.125 0.250  0.00
V: 0.250 0.750 0.500  2.67
V: 0.500 0.500 0.000  2.67
Tl: 0.000 0.000 0.000  -0.10
Tl: 0.750 0.250 0.500  -0.10

A geometry-optimized Tl3VF6 structure. Source: Alexandria via LeMat-Bulk, functional PBE+U.

Properties
Its space group is Fm-3m. Its final energy is -4.737 eV per atom.

Unit cell a=6.530 b=6.530 c=6.530 alpha=60.00 beta=60.00 gamma=60.00
Each line ends with the local moment (μB).
Fractional coordinates of all 10 atoms:
F: 0.714 0.286 0.286  -0.01
F: 0.714 0.714 0.286  -0.01
F: 0.286 0.286 0.714  -0.01
F: 0.286 0.714 0.714  -0.01
F: 0.714 0.286 0.714  -0.01
F: 0.286 0.714 0.286  -0.01
Tl: 0.250 0.250 0.250  0.00
Tl: 0.750 0.750 0.750  0.00
Tl: 0.000 0.000 0.000  0.00
V: 0.500 0.500 0.500  1.94

A geometry-optimized TlVF2 structure. Source: Alexandria via LeMat-Bulk, functional PBE+U.

Properties
Its space group is Fm-3m. Its final energy is -4.264 eV per atom.

Unit cell a=4.541 b=4.541 c=4.541 alpha=60.00 beta=60.00 gamma=60.00
Each line ends with the local moment (μB).
Fractional coordinates of all 4 atoms:
F: 0.250 0.250 0.250  0.02
F: 0.750 0.750 0.750  0.02
Tl: 0.500 0.500 0.500  0.09
V: 0.000 0.000 0.000  3.25

A geometry-optimized Tl2VF7 structure. Source: Alexandria via LeMat-Bulk, functional PBE+U.

Properties
Its space group is C2/c. Its final energy is -4.738 eV per atom.

Unit cell a=6.664 b=7.843 c=8.140 alpha=84.62 beta=65.84 gamma=64.86
Fractional coordinates of all 20 atoms:
F: 0.640 0.250 0.750
F: 0.076 0.293 0.902
F: 0.017 0.782 0.493
F: 0.360 0.750 0.250
F: 0.942 0.004 0.234
F: 0.292 0.718 0.007
F: 0.708 0.282 0.993
F: 0.820 0.504 0.734
F: 0.924 0.707 0.098
F: 0.729 0.793 0.402
F: 0.271 0.207 0.598
F: 0.180 0.496 0.266
F: 0.983 0.218 0.507
F: 0.058 0.996 0.766
Tl: 0.244 0.560 0.745
Tl: 0.756 0.440 0.255
Tl: 0.549 0.940 0.755
Tl: 0.451 0.060 0.245
V: 0.930 0.250 0.750
V: 0.070 0.750 0.250

A geometry-optimized Tl3VF6 structure. Source: Alexandria via LeMat-Bulk, functional PBE+U.

Properties
Its space group is Cmc2_1. Its final energy is -4.668 eV per atom.

Unit cell a=6.544 b=8.582 c=8.582 alpha=111.77 beta=90.00 gamma=90.00
Each line ends with the local moment (μB).
Fractional coordinates of all 20 atoms:
Tl: 0.999 0.686 0.884  0.00
Tl: 0.999 0.116 0.314  0.00
Tl: 0.499 0.314 0.116  0.00
Tl: 0.499 0.884 0.686  0.00
Tl: 0.511 0.397 0.603  0.00
Tl: 0.011 0.603 0.397  0.00
F: 0.434 0.687 0.313  0.00
F: 0.915 0.048 0.952  0.00
F: 0.255 0.339 0.340  0.00
F: 0.573 0.998 0.360  -0.02
F: 0.573 0.640 0.002  -0.02
F: 0.755 0.661 0.660  0.00
F: 0.073 0.360 0.998  -0.02
F: 0.415 0.952 0.048  0.00
F: 0.755 0.340 0.339  0.00
F: 0.073 0.002 0.640  -0.02
F: 0.255 0.660 0.661  0.00
F: 0.934 0.313 0.687  0.00
V: 0.971 0.180 0.820  1.86
V: 0.471 0.820 0.180  1.86

A geometry-optimized Tl2VF structure. Source: Alexandria via LeMat-Bulk, functional PBE+U.

Properties
Its space group is Fm-3m. Its final energy is -3.489 eV per atom.

Unit cell a=4.995 b=4.995 c=4.995 alpha=60.00 beta=60.00 gamma=60.00
Each line ends with the local moment (μB).
Fractional coordinates of all 4 atoms:
V: 0.500 0.500 0.500  3.14
F: 0.000 0.000 0.000  0.08
Tl: 0.250 0.250 0.250  0.07
Tl: 0.750 0.750 0.750  0.07

Copy entry 5 word for word.
A geometry-optimized Tl4VF6 structure. Source: Alexandria via LeMat-Bulk, functional PBE+U.

Properties
Its space group is P4/mnc. Its final energy is -4.539 eV per atom.

Unit cell a=7.604 b=7.604 c=8.178 alpha=90.00 beta=90.00 gamma=90.00
Each line ends with the local moment (μB).
Fractional coordinates of all 22 atoms:
Tl: 0.831 0.331 0.250  0.00
Tl: 0.831 0.331 0.750  0.00
Tl: 0.331 0.169 0.250  0.00
Tl: 0.669 0.831 0.750  0.00
Tl: 0.169 0.669 0.750  0.00
Tl: 0.669 0.831 0.250  0.00
Tl: 0.169 0.669 0.250  0.00
Tl: 0.331 0.169 0.750  0.00
F: 0.000 0.000 0.758  0.01
F: 0.745 0.121 0.500  0.00
F: 0.621 0.245 0.000  0.00
F: 0.255 0.879 0.500  0.00
F: 0.000 0.000 0.242  0.01
F: 0.755 0.621 0.000  0.00
F: 0.121 0.255 0.500  0.00
F: 0.500 0.500 0.258  0.01
F: 0.500 0.500 0.742  0.01
F: 0.879 0.745 0.500  0.00
F: 0.379 0.755 0.000  0.00
F: 0.245 0.379 0.000  0.00
V: 0.500 0.500 0.000  2.73
V: 0.000 0.000 0.500  2.73

What is the final energy in the second record? -5.672 eV per atom

final energy of number 6 (Tl2V3F10)? -5.613 eV per atom